(1)
Density functional theory data (GGA-PBE) for an optimized crystal structure of Sr6Bi3As.

extended XYZ file:
```
20
Lattice="8.161 0.000 0.075 0.000 8.768 0.000 0.040 0.000 11.642" Properties=species:S:1:pos:R:3 pbc="T T T"
Sr 2.666 7.018 4.986
Sr 5.535 1.750 6.731
Sr 6.766 6.134 10.844
Sr 1.591 2.814 5.104
As 4.100 4.384 5.858
Bi 0.229 5.084 2.960
Bi 0.020 0.000 5.821
Sr 6.610 5.954 6.612
As 0.000 0.000 0.000
Sr 1.186 0.598 8.846
Bi 4.329 8.068 8.819
Bi 3.872 0.700 2.898
Sr 1.435 2.634 0.873
Sr 2.510 7.199 0.754
Bi 7.972 3.684 8.756
Sr 5.247 3.786 3.063
Sr 2.954 4.982 8.654
Sr 5.691 1.570 10.962
Bi 4.080 4.384 0.037
Sr 7.014 8.170 2.871
```

## Properties
D(E_F) = 0.033 states/eV per atom
energy of formation = -0.920 eV per atom

=====

(2)
Density functional theory data (GGA-PBE) for an optimized crystal structure of TbY5Er2Tm.

extended XYZ file:
```
18
Lattice="5.582 0.000 0.000 -2.791 9.986 0.000 0.000 0.000 10.515" Properties=species:S:1:pos:R:3 pbc="T T T"
Y 2.791 9.650 5.486
Y 0.000 6.008 7.414
Er 0.000 2.199 7.762
Er 0.000 2.241 3.319
Y 0.000 7.711 0.245
Y 2.791 0.402 2.506
Y 2.791 4.420 8.562
Tb 0.000 3.923 0.138
Tm 0.000 8.226 4.777
Tb 2.791 6.064 5.395
Y 0.000 5.566 3.304
Tm 2.791 1.760 10.035
Y 0.000 9.584 7.764
Y 0.000 0.336 0.228
Y 2.791 3.979 2.157
Er 2.791 7.788 2.504
Er 2.791 7.746 8.577
Y 2.791 2.275 5.503
```

## Properties
D(E_F) = 1.787 states/eV per atom
energy of formation = 0.156 eV per atom

=====

(3)
Density functional theory data (GGA-PBE) for an optimized crystal structure of Ce2UTl2Se6.

extended XYZ file:
```
11
Lattice="7.380 -0.013 0.070 -3.659 6.409 0.070 -1.325 -2.277 7.715" Properties=species:S:1:pos:R:3 pbc="T T T"
Ce 3.030 0.994 3.928
Se 1.850 3.179 5.541
Tl 5.521 1.069 0.070
Se 0.678 5.297 2.404
Se 0.547 0.940 2.314
Se 1.719 -1.178 5.452
U -0.662 -1.139 3.857
Se -1.873 0.912 5.452
Se 4.270 3.207 2.404
Tl -1.800 5.328 0.070
Ce -0.634 3.126 3.928
```

## Properties
raw formation energy = -1277 meV per atom
D(E_F) = 1.699 states/eV per atom

=====

(4)
Density functional theory data (GGA-PBE) for an optimized crystal structure of Ba2GdRh.

extended XYZ file:
```
4
Lattice="4.076 0.000 0.000 2.038 3.530 0.000 2.038 1.177 11.335" Properties=species:S:1:pos:R:3 pbc="T T T"
Ba 2.038 1.177 7.564
Gd 0.000 0.000 0.000
Ba 6.114 3.530 3.771
Rh 4.076 2.353 5.668
```

## Properties
D(E_F) = 2.030 states/eV per atom
energy of formation = 0.258 eV per atom

=====

(5)
Density functional theory data (GGA-PBE) for an optimized crystal structure of NaMnAs2.

extended XYZ file:
```
4
Lattice="0.000 3.149 3.149 3.149 0.000 3.149 3.149 3.149 0.000" Properties=species:S:1:pos:R:3 pbc="T T T"
Mn 3.149 3.149 3.149
Na 0.000 0.000 0.000
As 1.574 1.574 1.574
As 4.723 4.723 4.723
```

## Properties
D(E_F) = 0.817 states/eV per atom
energy of formation = 0.254 eV per atom
polymorph energy (0 for the lowest one) = 507 meV/atom

=====

(6)
Density functional theory data (GGA-PBE) for an optimized crystal structure of Dy6Cd3Tc.

extended XYZ file:
```
20
Lattice="-5.153 0.072 1.310 2.037 -3.405 8.196 0.309 11.349 0.594" Properties=species:S:1:pos:R:3 pbc="T T T"
Dy -1.815 6.636 8.680
Cd -0.137 2.485 4.719
Dy 0.321 5.226 6.368
Dy 0.539 0.892 7.464
Cd -2.669 5.531 5.382
Tc -3.666 4.500 1.518
Dy -0.691 4.899 2.408
Cd -2.600 0.539 5.930
Cd -3.390 -0.410 2.875
Dy -2.115 3.117 7.693
Dy -0.991 1.380 1.421
Dy -3.127 2.790 3.733
Dy -0.314 -0.604 4.192
Cd 0.583 8.426 7.226
Dy -2.492 8.620 5.909
Dy -1.998 -1.312 8.397
Dy -0.808 9.328 1.705
Tc 0.860 3.516 8.583
Cd -0.207 7.478 4.171
Dy -3.345 7.124 2.637
```

## Properties
D(E_F) = 0.782 states/eV per atom
energy of formation = -0.192 eV per atom

=====

(7)
Density functional theory data (GGA-PBE) for an optimized crystal structure of Ti3Ga2Sn.

extended XYZ file:
```
6
Lattice="-0.314 2.799 2.966 -2.929 -2.200 1.766 5.682 -1.890 2.386" Properties=species:S:1:pos:R:3 pbc="T T T"
Ti 1.279 0.381 2.596
Ti -1.622 0.299 2.366
Sn 0.000 0.000 0.000
Ga -0.006 -2.135 2.014
Ti 1.159 -1.673 4.522
Ga 2.758 -1.956 2.138
```

## Properties
D(E_F) = 0.653 states/eV per atom
energy of formation = -0.379 eV per atom
polymorph energy (0 for the lowest one) = 0 meV/atom

=====

(8)
Density functional theory data (GGA-PBE) for an optimized crystal structure of LaCeGaAu.

extended XYZ file:
```
4
Lattice="5.295 0.000 0.000 2.647 4.585 0.000 2.647 1.528 4.323" Properties=species:S:1:pos:R:3 pbc="T T T"
La 5.295 3.057 2.162
Ce 0.000 0.000 0.000
Ga 2.647 1.528 1.081
Au 7.942 4.585 3.242
```

## Properties
D(E_F) = 2.571 states/eV per atom
energy of formation = -0.545 eV per atom